Entry 1:
Density functional theory data (PBE) for a geometry-optimized Dy5CuAu4 structure.

a b c (Å): 3.5570 3.5570 18.0947
angles (deg): 90.00 90.00 90.00
Last column: nearest neighbours and their distance in Å.
Positions (direct):
Dy 0.0000 0.0000 0.0000  8 Au 3.12
Dy 0.0000 0.0000 0.2029  8 Au 3.11-3.12
Dy 0.0000 0.0000 0.4048  4 Cu 3.05, 4 Au 3.10
Dy 0.0000 0.0000 0.5952  4 Cu 3.05, 4 Au 3.10
Dy 0.0000 0.0000 0.7971  8 Au 3.11-3.12
Cu 0.5000 0.5000 0.5000  8 Dy 3.05
Au 0.5000 0.5000 0.1016  8 Dy 3.11-3.12
Au 0.5000 0.5000 0.3049  8 Dy 3.10-3.12
Au 0.5000 0.5000 0.6951  8 Dy 3.10-3.12
Au 0.5000 0.5000 0.8984  8 Dy 3.11-3.12

Calculated values
The space-group type is No. 123.



Entry 2:
Density functional theory data (PBE) for a geometry-optimized AcCePAu structure.

a b c (Å): 5.2951 5.2951 5.2951
angles (deg): 60.00 60.00 60.00
Last column: nearest neighbours and their distance in Å.
Positions (direct):
Ac 0.0000 0.0000 0.0000  4 Au 3.24, 4 P 3.24
Ce 0.5000 0.5000 0.5000  4 Au 3.24, 4 P 3.24
P 0.2500 0.2500 0.2500  4 Ce 3.24, 4 Ac 3.24
Au 0.7500 0.7500 0.7500  4 Ce 3.24, 4 Ac 3.24

Calculated values
The space-group type is No. 216.



Entry 3:
Density functional theory data (PBE) for a geometry-optimized TlRe2Mo structure.

a b c (Å): 4.0803 4.0803 4.0059
angles (deg): 90.00 90.00 90.00
Last column: nearest neighbours and their distance in Å.
Positions (direct):
Tl 0.0000 0.0000 0.0000  8 Re 2.86, 4 Mo 2.89
Re 0.0000 0.5000 0.5000  4 Tl 2.86, 4 Mo 2.86, 4 Re 2.89
Re 0.5000 0.0000 0.5000  4 Tl 2.86, 4 Mo 2.86, 4 Re 2.89
Mo 0.5000 0.5000 0.0000  8 Re 2.86, 4 Tl 2.89

Calculated values
The space-group type is No. 123. The energy relative to the lowest polymorph listed for this composition is 0.416 eV/atom.



Computed energy of formation, in the same sequence as the records: -0.740; -0.753; 0.898 eV/atom.